# 1
The following is a PBE-GGA calculation of an optimized crystal structure of La2Zn4InAu3, from Alexandria.

The calculation puts the magnetization at 0.000 μB/atom. Its calculated density is 9.56 g/cm3. The value obtained for the energy is -3.28 eV per atom.

The structure belongs to space group P-4m2 (No. 115); the cell edges are 4.339, 4.339 and 11.493 Å and the angles 90.00°, 90.00° and 90.00°. Symmetry generates all atoms from La at (0.000, 0.500, 0.244), Zn at (0.000, 0.000, 0.000), Zn at (0.000, 0.500, 0.642), Zn at (0.500, 0.500, 0.000), In at (0.000, 0.000, 0.500), Au at (0.000, 0.500, 0.865) and Au at (0.500, 0.500, 0.500).

***

# 2
The following is a PBE-GGA calculation of an optimized crystal structure of ZnCd5Au3, from Alexandria.

The calculation puts the magnetization at 0.000 μB/atom. Its calculated density is 9.42 g/cm3. The value obtained for the energy is -1.79 eV per atom.

The structure belongs to space group C2/m (No. 12); the cell edges are 9.448, 9.041 and 10.195 Å and the angles 90.00°, 99.32° and 90.00°. Symmetry generates all atoms from Zn at (0.005, 0.000, 0.248), Cd at (0.000, 0.308, 0.000), Cd at (0.036, 0.500, 0.343), Cd at (0.200, 0.206, 0.644), Cd at (0.220, 0.500, 0.867), Au at (0.000, 0.000, 0.000), Au at (0.000, 0.000, 0.500), Au at (0.218, 0.500, 0.143) and Au at (0.237, 0.500, 0.589).

***

# 3
The following is a PBE-GGA calculation of an optimized crystal structure of Nd2AlPdO6, from Alexandria.

The calculation puts the magnetization at 0.000 μB/atom. Its calculated density is 7.05 g/cm3. The value obtained for the energy is -7.18 eV per atom.

The structure belongs to space group Pmmn (No. 59, origin choice 2); the cell edges are 5.429, 7.890 and 5.692 Å and the angles 90.00°, 90.00° and 90.00°. Symmetry generates all atoms from Nd at (0.250, 0.022, 0.217), Al at (0.250, 0.750, 0.756), Pd at (0.250, 0.250, 0.729), O at (0.002, 0.750, 0.003), O at (0.010, 0.250, 0.450) and O at (0.250, 0.514, 0.789).

***

# 4
The following is a PBE-GGA calculation of an optimized crystal structure of Ce3PmTl4, from Alexandria.

The calculation puts the magnetization at 0.534 μB/atom. Its calculated density is 9.82 g/cm3. The value obtained for the energy is -4.25 eV per atom.

The structure belongs to space group P4/mmm (No. 123); the cell edges are 4.104, 4.104 and 13.892 Å and the angles 90.00°, 90.00° and 90.00°. Symmetry generates all atoms from Ce at (0.000, 0.000, 0.000), Ce at (0.000, 0.000, 0.245), Pm at (0.000, 0.000, 0.500), Tl at (0.500, 0.500, 0.123) and Tl at (0.500, 0.500, 0.375).

***

# 5
The following is a PBE-GGA calculation of an optimized crystal structure of TmCuH2O4, from Alexandria.

The calculation puts the magnetization at 0.000 μB/atom. Its calculated density is 6.73 g/cm3. The value obtained for the energy is -5.89 eV per atom.

The structure belongs to space group I222 (No. 23); the cell edges are 4.680, 5.364 and 5.871 Å and the angles 90.00°, 90.00° and 90.00°. Symmetry generates all atoms from Tm at (0.000, 0.000, 0.000), Cu at (0.000, 0.000, 0.500), H at (0.000, 0.500, 0.201) and O at (0.221, 0.383, 0.795).

***

# 6
The following is a PBE-GGA calculation of an optimized crystal structure of Al2Ni2Cl, from Alexandria.

The calculation puts the magnetization at 0.000 μB/atom. Its calculated density is 4.23 g/cm3. The value obtained for the energy is -4.22 eV per atom.

The structure belongs to space group I4/mmm (No. 139); the cell edges are 3.787, 3.787 and 11.328 Å and the angles 90.00°, 90.00° and 90.00°. Symmetry generates all atoms from Al at (0.000, 0.500, 0.250), Ni at (0.000, 0.000, 0.119) and Cl at (0.000, 0.000, 0.500).

***

# 7
The following is a PBE-GGA calculation of an optimized crystal structure of Y4Mg3Cu2, from Alexandria.

The calculation puts the magnetization at 0.000 μB/atom. Its calculated density is 4.16 g/cm3. The value obtained for the energy is -4.42 eV per atom.

The structure belongs to space group C2/m (No. 12); the cell edges are 14.738, 4.529 and 6.892 Å and the angles 90.00°, 105.56° and 90.00°. Symmetry generates all atoms from Y at (0.077, 0.000, 0.340), Y at (0.227, 0.500, 0.189), Mg at (0.000, 0.500, 0.000), Mg at (0.102, 0.500, 0.684) and Cu at (0.109, 0.000, 0.943).

***

# 8
The following is a PBE-GGA calculation of an optimized crystal structure of LiInTc2, from Alexandria.

The calculation puts the magnetization at 0.000 μB/atom. Its calculated density is 7.96 g/cm3. The value obtained for the energy is -6.07 eV per atom.

The structure belongs to space group Cmm2 (No. 35); the cell edges are 3.044, 4.686 and 9.297 Å and the angles 90.00°, 90.00° and 90.00°. Symmetry generates all atoms from Li at (0.000, 0.000, 0.000), In at (0.000, 0.500, 0.264), Tc at (0.000, 0.000, 0.534) and Tc at (0.000, 0.500, 0.756).

***

# 9
The following is a PBE-GGA calculation of an optimized crystal structure of KTaCl, from Alexandria.

The calculation puts the magnetization at 1.499 μB/atom. Its calculated density is 4.34 g/cm3. The value obtained for the energy is -3.70 eV per atom.

The structure belongs to space group F-43m (No. 216); the cell edges are 7.314, 7.314 and 7.314 Å and the angles 90.00°, 90.00° and 90.00°. Symmetry generates all atoms from K at (0.000, 0.000, 0.000), Ta at (0.000, 0.000, 0.500) and Cl at (0.250, 0.250, 0.750).

***

# 10
The following is a PBE-GGA calculation of an optimized crystal structure of La2PmNb, from Alexandria.

The calculation puts the magnetization at 0.000 μB/atom. Its calculated density is 7.24 g/cm3. The value obtained for the energy is -5.80 eV per atom.

The structure belongs to space group R-3m (No. 166, hexagonal axes); the cell edges are 5.2384, 5.2384 and 14.9238 Å and the angles 90.00°, 90.00° and 120.00°. Symmetry generates all atoms from La at (0.0000, 0.0000, 0.2325), Pm at (0.0000, 0.0000, 0.0000) and Nb at (0.0000, 0.0000, 0.5000).

***

# 11
The following is a PBE-GGA calculation of an optimized crystal structure of HfZr3Zn3, from Alexandria.

The calculation puts the magnetization at 0.000 μB/atom. Its calculated density is 7.67 g/cm3. The value obtained for the energy is -5.63 eV per atom.

The structure belongs to space group C2/m (No. 12); the cell edges are 9.241, 9.989 and 6.079 Å and the angles 90.00°, 90.03° and 90.00°. Symmetry generates all atoms from Hf at (0.179, 0.000, 0.499), Zr at (0.000, 0.500, 0.251), Zr at (0.250, 0.250, 0.241), Zn at (0.000, 0.151, 0.000), Zn at (0.000, 0.241, 0.500) and Zn at (0.233, 0.000, 0.000).

***

Q: calculated density of number 4 (Ce3PmTl4)?
A: 9.82 g/cm3

***

Q: energy of number 1 (La2Zn4InAu3)?
A: -3.28 eV per atom

***

Q: Which formula does entry 11 have?
A: HfZr3Zn3